# TiNiOs3 | the Alexandria database | GGA-PBE | relaxed
data_TiNiOs3
_symmetry_space_group_name_H-M 'P m -3 m'
_symmetry_Int_Tables_number 221
_symmetry_space_group_name_Hall '-P 4 2 3'
_cell_length_a 4.5046
_cell_length_b 4.5046
_cell_length_c 4.5046
_cell_angle_alpha 90.00
_cell_angle_beta 90.00
_cell_angle_gamma 90.00
loop_
_atom_site_label
_atom_site_type_symbol
_atom_site_fract_x
_atom_site_fract_y
_atom_site_fract_z
_atom_site_occupancy
Ti1 Ti 0.0000 0.0000 0.0000 1
Ni1 Ni 0.5000 0.5000 0.5000 1
Os1 Os 0.0000 0.0000 0.5000 1
# * offset from the most stable computed form: 538 meV/atom
# * volume: 18.3 Å³ per atom
# * formation energy from the elements: 2023 meV/atom
# * size of the total moment: 2.183 Bohr magnetons per cell

# CaBePPb2 | the Alexandria database | GGA-PBE | relaxed
data_CaBePPb2
_symmetry_space_group_name_H-M 'P 4/m m m'
_symmetry_Int_Tables_number 123
_symmetry_space_group_name_Hall '-P 4 2'
_cell_length_a 5.9600
_cell_length_b 5.9600
_cell_length_c 3.8777
_cell_angle_alpha 90.00
_cell_angle_beta 90.00
_cell_angle_gamma 90.00
loop_
_atom_site_label
_atom_site_type_symbol
_atom_site_fract_x
_atom_site_fract_y
_atom_site_fract_z
_atom_site_occupancy
Ca1 Ca 0.0000 0.0000 0.0000 1
Be1 Be 0.5000 0.5000 0.0000 1
P1 P 0.5000 0.5000 0.5000 1
Pb1 Pb 0.0000 0.5000 0.5000 1
# * volume: 27.5 Å³ per atom
# * formation energy from the elements: 31 meV/atom
# * size of the total moment: 0.000 Bohr magnetons per cell

# HfMgPaO6 | the Alexandria database | GGA-PBE | relaxed
data_HfMgPaO6
_symmetry_space_group_name_H-M 'P 42 n m'
_symmetry_Int_Tables_number 102
_cell_length_a 4.9172
_cell_length_b 4.9172
_cell_length_c 9.9189
_cell_angle_alpha 90.00
_cell_angle_beta 90.00
_cell_angle_gamma 90.00
loop_
_symmetry_equiv_pos_as_xyz
'x,y,z'
'-y+1/2,x+1/2,z+1/2'
'-x,-y,z'
'y+1/2,-x+1/2,z+1/2'
'-x+1/2,y+1/2,z+1/2'
'y,x,z'
'x+1/2,-y+1/2,z+1/2'
'-y,-x,z'
loop_
_atom_site_label
_atom_site_type_symbol
_atom_site_fract_x
_atom_site_fract_y
_atom_site_fract_z
_atom_site_occupancy
Hf1 Hf 0.0000 0.0000 0.0000 1
Mg1 Mg 0.0000 0.0000 0.6667 1
Pa1 Pa 0.0000 0.0000 0.3347 1
O1 O 0.1906 0.1906 0.8358 1
O2 O 0.1934 0.1934 0.1607 1
O3 O 0.1998 0.1998 0.5030 1
# * uncorrected formation energy: -3.06 eV/atom
# * volume: 13.3 Å³ per atom
# * size of the total moment: 0.001 Bohr magnetons per cell

The lowest volume belongs to which entry?
HfMgPaO6